(1)
VASP calculation (PBEsol) on a relaxed structure of Y4CrFe.

Geometry as CIF:
```
data_Y4CrFe
_chemical_formula_sum 'Y16 Cr4 Fe4'
_symmetry_space_group_name_H-M 'F -4 3 m'
_symmetry_Int_Tables_number 216
_symmetry_space_group_name_Hall 'F -4 2 3'
_cell_length_a 8.552
_cell_length_b 8.552
_cell_length_c 8.552
_cell_angle_alpha 90.00
_cell_angle_beta 90.00
_cell_angle_gamma 90.00
loop_
_atom_site_label
_atom_site_fract_x
_atom_site_fract_y
_atom_site_fract_z
Y1 0.125 0.125 0.125
Cr1 0.000 0.000 0.500
Fe1 0.250 0.250 0.750
```

Energy relative to the elements (eV/atom): 1.080
Density (g/cm³): 4.92



(2)
VASP calculation (PBEsol) on a relaxed structure of Sr2Cd2Au.

Geometry as CIF:
```
data_Sr2Cd2Au
_chemical_formula_sum 'Sr4 Cd4 Au2'
_symmetry_space_group_name_H-M 'I 4/m m m'
_symmetry_Int_Tables_number 139
_symmetry_space_group_name_Hall '-I 4 2'
_cell_length_a 3.986
_cell_length_b 3.986
_cell_length_c 18.649
_cell_angle_alpha 90.00
_cell_angle_beta 90.00
_cell_angle_gamma 90.00
loop_
_atom_site_label
_atom_site_fract_x
_atom_site_fract_y
_atom_site_fract_z
Sr1 0.000 0.000 0.095
Cd1 0.000 0.500 0.250
Au1 0.000 0.000 0.500
```

Energy relative to the elements (eV/atom): -0.306
Density (g/cm³): 6.69



(3)
VASP calculation (PBEsol) on a relaxed structure of CdHgRu.

Geometry as CIF:
```
data_CdHgRu
_chemical_formula_sum 'Cd2 Hg2 Ru2'
_symmetry_space_group_name_H-M 'I 4 m m'
_symmetry_Int_Tables_number 107
_symmetry_space_group_name_Hall 'I 4 -2'
_cell_length_a 2.946
_cell_length_b 2.946
_cell_length_c 12.257
_cell_angle_alpha 90.00
_cell_angle_beta 90.00
_cell_angle_gamma 90.00
loop_
_atom_site_label
_atom_site_fract_x
_atom_site_fract_y
_atom_site_fract_z
Cd1 0.000 0.000 0.000
Hg1 0.000 0.000 0.311
Ru1 0.000 0.000 0.654
```

Offset from the most stable computed form (meV per atom): 0
Energy relative to the elements (eV/atom): 0.421
Density (g/cm³): 12.93



(4)
VASP calculation (PBEsol) on a relaxed structure of Li2CaTa.

Geometry as CIF:
```
data_Li2CaTa
_chemical_formula_sum 'Li2 Ca1 Ta1'
_symmetry_space_group_name_H-M 'P m m m'
_symmetry_Int_Tables_number 47
_cell_length_a 2.770
_cell_length_b 4.596
_cell_length_c 6.428
_cell_angle_alpha 90.00
_cell_angle_beta 90.00
_cell_angle_gamma 90.00
loop_
_symmetry_equiv_pos_as_xyz
'x,y,z'
'-x,-y,-z'
'-x,-y,z'
'x,y,-z'
'x,-y,-z'
'-x,y,z'
'-x,y,-z'
'x,-y,z'
loop_
_atom_site_label
_atom_site_fract_x
_atom_site_fract_y
_atom_site_fract_z
Li1 0.000 0.000 0.205
Ca1 0.500 0.500 0.500
Ta1 0.500 0.500 0.000
```

Offset from the most stable computed form (meV per atom): 41
Energy relative to the elements (eV/atom): 0.625
Density (g/cm³): 4.77



(5)
VASP calculation (PBEsol) on a relaxed structure of BaTi8O16.

Geometry as CIF:
```
data_BaTi8O16
_chemical_formula_sum 'Ba1 Ti8 O16'
_symmetry_space_group_name_H-M 'P -1'
_symmetry_Int_Tables_number 2
_cell_length_a 5.891
_cell_length_b 7.244
_cell_length_c 7.332
_cell_angle_alpha 88.77
_cell_angle_beta 78.35
_cell_angle_gamma 78.15
loop_
_symmetry_equiv_pos_as_xyz
'x,y,z'
'-x,-y,-z'
loop_
_atom_site_label
_atom_site_fract_x
_atom_site_fract_y
_atom_site_fract_z
Ba1 0.000 0.000 0.000
Ti1 0.076 0.508 0.185
Ti2 0.169 0.813 0.513
Ti3 0.338 0.177 0.467
Ti4 0.425 0.475 0.822
O1 0.025 0.300 0.619
O2 0.147 0.039 0.351
O3 0.165 0.636 0.717
O4 0.170 0.351 0.949
O5 0.321 0.646 0.052
O6 0.340 0.372 0.288
O7 0.344 0.961 0.645
O8 0.485 0.699 0.385
```

Density (g/cm³): 4.30
E_form (uncorrected) (eV per atom): -3.075



(6)
VASP calculation (PBEsol) on a relaxed structure of BeAsOs2.

Geometry as CIF:
```
data_BeAsOs2
_chemical_formula_sum 'Be2 As2 Os4'
_symmetry_space_group_name_H-M 'C 1 2/m 1'
_symmetry_Int_Tables_number 12
_cell_length_a 5.588
_cell_length_b 7.825
_cell_length_c 2.814
_cell_angle_alpha 90.00
_cell_angle_beta 118.93
_cell_angle_gamma 90.00
loop_
_symmetry_equiv_pos_as_xyz
'x,y,z'
'-x,-y,-z'
'-x,y,-z'
'x,-y,z'
'x+1/2,y+1/2,z'
'-x+1/2,-y+1/2,-z'
'-x+1/2,y+1/2,-z'
'x+1/2,-y+1/2,z'
loop_
_atom_site_label
_atom_site_fract_x
_atom_site_fract_y
_atom_site_fract_z
Be1 0.000 0.000 0.000
As1 0.000 0.500 0.000
Os1 0.250 0.250 0.500
```

Offset from the most stable computed form (meV per atom): 70
Energy relative to the elements (eV/atom): 0.419
Density (g/cm³): 14.32



(7)
VASP calculation (PBEsol) on a relaxed structure of GeBiO2.

Geometry as CIF:
```
data_GeBiO2
_chemical_formula_sum 'Ge3 Bi3 O6'
_symmetry_space_group_name_H-M 'R -3 m'
_symmetry_Int_Tables_number 166
_symmetry_space_group_name_Hall '-R 3 2"'
_cell_length_a 3.2529
_cell_length_b 3.2529
_cell_length_c 20.5136
_cell_angle_alpha 90.00
_cell_angle_beta 90.00
_cell_angle_gamma 120.00
loop_
_atom_site_label
_atom_site_fract_x
_atom_site_fract_y
_atom_site_fract_z
Ge1 0.0000 0.0000 0.0000
Bi1 0.0000 0.0000 0.5000
O1 0.0000 0.0000 0.3827
```

Offset from the most stable computed form (meV per atom): 0
Density (g/cm³): 8.31
E_form (uncorrected) (eV per atom): -0.847



(8)
VASP calculation (PBEsol) on a relaxed structure of Cs2KRb2.

Geometry as CIF:
```
data_Cs2KRb2
_chemical_formula_sum 'Cs4 K2 Rb4'
_symmetry_space_group_name_H-M 'I 4/m m m'
_symmetry_Int_Tables_number 139
_symmetry_space_group_name_Hall '-I 4 2'
_cell_length_a 6.180
_cell_length_b 6.180
_cell_length_c 25.997
_cell_angle_alpha 90.00
_cell_angle_beta 90.00
_cell_angle_gamma 90.00
loop_
_atom_site_label
_atom_site_fract_x
_atom_site_fract_y
_atom_site_fract_z
Cs1 0.000 0.000 0.096
K1 0.000 0.000 0.500
Rb1 0.000 0.500 0.250
```

Offset from the most stable computed form (meV per atom): 15
Energy relative to the elements (eV/atom): 0.072
Density (g/cm³): 1.59



(9)
VASP calculation (PBEsol) on a relaxed structure of CoSi2Ag.

Geometry as CIF:
```
data_CoSi2Ag
_chemical_formula_sum 'Co2 Si4 Ag2'
_symmetry_space_group_name_H-M 'C m m m'
_symmetry_Int_Tables_number 65
_symmetry_space_group_name_Hall '-C 2 2'
_cell_length_a 5.480
_cell_length_b 6.837
_cell_length_c 2.797
_cell_angle_alpha 90.00
_cell_angle_beta 90.00
_cell_angle_gamma 90.00
loop_
_atom_site_label
_atom_site_fract_x
_atom_site_fract_y
_atom_site_fract_z
Co1 0.000 0.000 0.000
Si1 0.250 0.250 0.500
Ag1 0.000 0.500 0.000
```

Offset from the most stable computed form (meV per atom): 0
Density (g/cm³): 7.07
E_form (uncorrected) (eV per atom): 0.221



(10)
VASP calculation (PBEsol) on a relaxed structure of KCr2Mo.

Geometry as CIF:
```
data_KCr2Mo
_chemical_formula_sum 'K1 Cr2 Mo1'
_symmetry_space_group_name_H-M 'P m m 2'
_symmetry_Int_Tables_number 25
_cell_length_a 3.022
_cell_length_b 3.367
_cell_length_c 7.873
_cell_angle_alpha 90.00
_cell_angle_beta 90.00
_cell_angle_gamma 90.00
loop_
_symmetry_equiv_pos_as_xyz
'x,y,z'
'-x,-y,z'
'-x,y,z'
'x,-y,z'
loop_
_atom_site_label
_atom_site_fract_x
_atom_site_fract_y
_atom_site_fract_z
K1 0.000 0.000 0.000
Cr1 0.000 0.000 0.529
Cr2 0.500 0.500 0.640
Mo1 0.500 0.500 0.375
```

Offset from the most stable computed form (meV per atom): 26
Energy relative to the elements (eV/atom): 0.943
Density (g/cm³): 4.95



(11)
VASP calculation (PBEsol) on a relaxed structure of Mg2TlI.

Geometry as CIF:
```
data_Mg2TlI
_chemical_formula_sum 'Mg8 Tl4 I4'
_symmetry_space_group_name_H-M 'I -4 2 d'
_symmetry_Int_Tables_number 122
_symmetry_space_group_name_Hall 'I -4 2bw'
_cell_length_a 8.322
_cell_length_b 8.322
_cell_length_c 6.641
_cell_angle_alpha 90.00
_cell_angle_beta 90.00
_cell_angle_gamma 90.00
loop_
_atom_site_label
_atom_site_fract_x
_atom_site_fract_y
_atom_site_fract_z
Mg1 0.241 0.750 0.125
Tl1 0.000 0.000 0.000
I1 0.000 0.000 0.500
```

Density (g/cm³): 5.49
E_form (uncorrected) (eV per atom): -0.118



(12)
VASP calculation (PBEsol) on a relaxed structure of InRhCl2.

Geometry as CIF:
```
data_InRhCl2
_chemical_formula_sum 'In3 Rh3 Cl6'
_symmetry_space_group_name_H-M 'R -3 m'
_symmetry_Int_Tables_number 166
_symmetry_space_group_name_Hall '-R 3 2"'
_cell_length_a 3.4462
_cell_length_b 3.4462
_cell_length_c 24.7004
_cell_angle_alpha 90.00
_cell_angle_beta 90.00
_cell_angle_gamma 120.00
loop_
_atom_site_label
_atom_site_fract_x
_atom_site_fract_y
_atom_site_fract_z
In1 0.0000 0.0000 0.0000
Rh1 0.0000 0.0000 0.5000
Cl1 0.0000 0.0000 0.2233
```

Offset from the most stable computed form (meV per atom): 0
Density (g/cm³): 5.66
E_form (uncorrected) (eV per atom): -0.119



(13)
VASP calculation (PBEsol) on a relaxed structure of RbYSeN2.

Geometry as CIF:
```
data_RbYSeN2
_chemical_formula_sum 'Rb1 Y1 Se1 N2'
_symmetry_space_group_name_H-M 'P 4/m m m'
_symmetry_Int_Tables_number 123
_symmetry_space_group_name_Hall '-P 4 2'
_cell_length_a 4.677
_cell_length_b 4.677
_cell_length_c 5.531
_cell_angle_alpha 90.00
_cell_angle_beta 90.00
_cell_angle_gamma 90.00
loop_
_atom_site_label
_atom_site_fract_x
_atom_site_fract_y
_atom_site_fract_z
Rb1 0.000 0.000 0.000
Y1 0.500 0.500 0.500
Se1 0.500 0.500 0.000
N1 0.000 0.500 0.500
```

Offset from the most stable computed form (meV per atom): 0
Density (g/cm³): 3.86
E_form (uncorrected) (eV per atom): 0.168



(14)
VASP calculation (PBEsol) on a relaxed structure of SrCu2O3.

Geometry as CIF:
```
data_SrCu2O3
_chemical_formula_sum 'Sr2 Cu4 O6'
_symmetry_space_group_name_H-M 'C m m m'
_symmetry_Int_Tables_number 65
_symmetry_space_group_name_Hall '-C 2 2'
_cell_length_a 3.914
_cell_length_b 11.418
_cell_length_c 3.479
_cell_angle_alpha 90.00
_cell_angle_beta 90.00
_cell_angle_gamma 90.00
loop_
_atom_site_label
_atom_site_fract_x
_atom_site_fract_y
_atom_site_fract_z
Sr1 0.000 0.000 0.000
Cu1 0.000 0.335 0.500
O1 0.000 0.170 0.500
O2 0.000 0.500 0.500
```

Density (g/cm³): 5.61
E_form (uncorrected) (eV per atom): -1.346